# 1
# ZrBAu, optimized geometry, DFT PBE
data_ZrBAu
_space_group_name_H-M_alt 'R 3 m'
_space_group_IT_number 160
_space_group_name_Hall 'R 3 -2"'
_cell_length_a 3.2222
_cell_length_b 3.2222
_cell_length_c 30.6860
_cell_angle_alpha 90.00
_cell_angle_beta 90.00
_cell_angle_gamma 120.00
loop_
_atom_site_label
_atom_site_fract_x
_atom_site_fract_y
_atom_site_fract_z
_atom_site_occupancy
Zr1 0.0000 0.0000 0.0000 1
Zr2 0.0000 0.0000 0.1111 1
B1 0.0000 0.0000 0.3889 1
B2 0.0000 0.0000 0.7222 1
Au1 0.0000 0.0000 0.2597 1
Au2 0.0000 0.0000 0.5184 1
# Crystal system: trigonal
# Formation energy, eV per atom: -0.6416
# E, eV per cell: -122.57

***

# 2
# ZrBAu, optimized geometry, DFT PBE
data_ZrBAu
_space_group_name_H-M_alt 'C 1 2/m 1'
_space_group_IT_number 12
_cell_length_a 9.267
_cell_length_b 3.505
_cell_length_c 6.955
_cell_angle_alpha 90.00
_cell_angle_beta 127.05
_cell_angle_gamma 90.00
loop_
_space_group_symop_operation_xyz
'x,y,z'
'-x,-y,-z'
'-x,y,-z'
'x,-y,z'
'x+1/2,y+1/2,z'
'-x+1/2,-y+1/2,-z'
'-x+1/2,y+1/2,-z'
'x+1/2,-y+1/2,z'
loop_
_atom_site_label
_atom_site_fract_x
_atom_site_fract_y
_atom_site_fract_z
_atom_site_occupancy
Zr1 0.068 0.000 0.325 1
B1 0.114 0.500 0.601 1
Au1 0.192 0.500 0.114 1
# Crystal system: monoclinic
# Formation energy, eV per atom: -0.5092
# E, eV per cell: -80.12

***

# 3
# Zr2BAu, optimized geometry, DFT PBE
data_Zr2BAu
_space_group_name_H-M_alt 'I -4 2 d'
_space_group_IT_number 122
_space_group_name_Hall 'I -4 2bw'
_cell_length_a 6.829
_cell_length_b 6.829
_cell_length_c 6.567
_cell_angle_alpha 90.00
_cell_angle_beta 90.00
_cell_angle_gamma 90.00
loop_
_atom_site_label
_atom_site_fract_x
_atom_site_fract_y
_atom_site_fract_z
_atom_site_occupancy
Zr1 0.193 0.750 0.125 1
B1 0.000 0.000 0.000 1
Au1 0.000 0.000 0.500 1
# Crystal system: tetragonal
# Formation energy, eV per atom: -0.0608
# E, eV per cell: -109.18

***

# 4
# ZrBAu, optimized geometry, DFT PBE
data_ZrBAu
_space_group_name_H-M_alt 'P m m 2'
_space_group_IT_number 25
_cell_length_a 3.145
_cell_length_b 4.730
_cell_length_c 6.653
_cell_angle_alpha 90.00
_cell_angle_beta 90.00
_cell_angle_gamma 90.00
loop_
_space_group_symop_operation_xyz
'x,y,z'
'-x,-y,z'
'-x,y,z'
'x,-y,z'
loop_
_atom_site_label
_atom_site_fract_x
_atom_site_fract_y
_atom_site_fract_z
_atom_site_occupancy
Zr1 0.000 0.000 0.000 1
Zr2 0.000 0.500 0.443 1
B1 0.000 0.500 0.091 1
B2 0.500 0.500 0.161 1
Au1 0.500 0.000 0.581 1
Au2 0.500 0.500 0.814 1
# Crystal system: orthorhombic
# Formation energy, eV per atom: -0.2606
# E, eV per cell: -38.57

***

# 5
# ZrBAu, optimized geometry, DFT PBE
data_ZrBAu
_space_group_name_H-M_alt 'P 1'
_space_group_IT_number 1
_cell_length_a 3.170
_cell_length_b 3.630
_cell_length_c 9.702
_cell_angle_alpha 96.94
_cell_angle_beta 90.04
_cell_angle_gamma 115.36
loop_
_space_group_symop_operation_xyz
'x,y,z'
loop_
_atom_site_label
_atom_site_fract_x
_atom_site_fract_y
_atom_site_fract_z
_atom_site_occupancy
Zr1 0.000 0.000 0.000 1
Zr2 0.452 0.906 0.658 1
B1 0.273 0.539 0.853 1
B2 0.782 0.558 0.792 1
Au1 0.094 0.194 0.436 1
Au2 0.736 0.482 0.219 1
# Crystal system: triclinic
# Formation energy, eV per atom: -0.3616
# E, eV per cell: -39.18

***

# 6
# ZrBAu, optimized geometry, DFT PBE
data_ZrBAu
_space_group_name_H-M_alt 'P n m a'
_space_group_IT_number 62
_cell_length_a 9.041
_cell_length_b 3.528
_cell_length_c 5.977
_cell_angle_alpha 90.00
_cell_angle_beta 90.00
_cell_angle_gamma 90.00
loop_
_space_group_symop_operation_xyz
'x,y,z'
'-x,-y,-z'
'-x+1/2,-y,z+1/2'
'x+1/2,y,-z+1/2'
'x+1/2,-y+1/2,-z+1/2'
'-x+1/2,y+1/2,z+1/2'
'-x,y+1/2,-z'
'x,-y+1/2,z'
loop_
_atom_site_label
_atom_site_fract_x
_atom_site_fract_y
_atom_site_fract_z
_atom_site_occupancy
Zr1 0.137 0.250 0.121 1
B1 0.139 0.750 0.852 1
Au1 0.087 0.250 0.626 1
# Crystal system: orthorhombic
# Formation energy, eV per atom: -0.2590
# E, eV per cell: -77.12

***

Q: Which formula does entry 5 have?
A: ZrBAu

***

Q: Among the records above, which one has the highest formation energy?
A: Zr2BAu

***

Repeat the sixth record exactly.
# ZrBAu, optimized geometry, DFT PBE
data_ZrBAu
_space_group_name_H-M_alt 'P n m a'
_space_group_IT_number 62
_cell_length_a 9.041
_cell_length_b 3.528
_cell_length_c 5.977
_cell_angle_alpha 90.00
_cell_angle_beta 90.00
_cell_angle_gamma 90.00
loop_
_space_group_symop_operation_xyz
'x,y,z'
'-x,-y,-z'
'-x+1/2,-y,z+1/2'
'x+1/2,y,-z+1/2'
'x+1/2,-y+1/2,-z+1/2'
'-x+1/2,y+1/2,z+1/2'
'-x,y+1/2,-z'
'x,-y+1/2,z'
loop_
_atom_site_label
_atom_site_fract_x
_atom_site_fract_y
_atom_site_fract_z
_atom_site_occupancy
Zr1 0.137 0.250 0.121 1
B1 0.139 0.750 0.852 1
Au1 0.087 0.250 0.626 1
# Crystal system: orthorhombic
# Formation energy, eV per atom: -0.2590
# E, eV per cell: -77.12